A plane-wave DFT calculation with PBE was carried out for an optimized crystal structure of PuBi2Te4.

Output
Raw total energy ... -5.333 eV per atom
Formation energy without anion corrections ... -381 meV per atom
N(E_F) ... 2.41 states/eV per atom

Cell lengths 4.4321, 14.7441, 15.0880 Å; angles 90.00, 90.00, 90.00 degrees
Space group Cmcm (No. 63)
Symmetry-distinct sites (fractional):
Pu1 0.0000 0.1245 0.2500 x4
Bi1 0.0000 0.3660 0.0735 x8
Te1 0.0000 0.0000 0.0000 x4
Te2 0.0000 0.2821 0.6206 x8
Te3 0.0000 0.4724 0.2500 x4